The following is a PBE calculation of a geometry-optimized Ca6P2SBr3 structure, from the Alexandria database.

Calculated values
ΔE_f (raw)   -1629 meV/atom

```
12
Lattice="3.624 -6.278 0.000 3.624 6.278 0.000 -2.412 0.000 7.004" Properties=species:S:1:pos:R:3 pbc="T T T"
Ca -0.012 2.119 5.553
Ca 1.177 0.000 1.443
Ca -0.012 -2.119 5.553
Ca 4.848 2.119 1.451
Ca 3.659 0.000 5.561
Ca 4.848 -2.119 1.451
P 3.624 4.182 0.000
P 3.624 -4.182 0.000
S 3.624 0.000 0.000
Br -1.206 0.000 3.502
Br 2.418 2.054 3.502
Br 2.418 -2.054 3.502
```